No. 1
# Sc2CdPbC GGA-PBE optimized geometry
# M_tot: 0.000 μB per formula unit
data_Sc2CdPbC
_chemical_formula_sum 'Sc2 Cd1 Pb1 C1'
_space_group_name_H-M_alt 'P 4/m m m'
_space_group_IT_number 123
_space_group_name_Hall '-P 4 2'
_cell_length_a 4.602
_cell_length_b 4.602
_cell_length_c 4.592
_cell_angle_alpha 90.00
_cell_angle_beta 90.00
_cell_angle_gamma 90.00
loop_
_atom_site_label
_atom_site_type_symbol
_atom_site_fract_x
_atom_site_fract_y
_atom_site_fract_z
Sc1 Sc 0.000 0.500 0.000
Cd1 Cd 0.000 0.000 0.500
Pb1 Pb 0.500 0.500 0.500
C1 C 0.000 0.000 0.000


No. 2
# CdSnPb2C GGA-PBE optimized geometry
# M_tot: 0.000 μB per formula unit
data_CdSnPb2C
_chemical_formula_sum 'Cd1 Sn1 Pb2 C1'
_space_group_name_H-M_alt 'P 4/m m m'
_space_group_IT_number 123
_space_group_name_Hall '-P 4 2'
_cell_length_a 5.423
_cell_length_b 5.423
_cell_length_c 4.411
_cell_angle_alpha 90.00
_cell_angle_beta 90.00
_cell_angle_gamma 90.00
loop_
_atom_site_label
_atom_site_type_symbol
_atom_site_fract_x
_atom_site_fract_y
_atom_site_fract_z
Cd1 Cd 0.000 0.000 0.000
Sn1 Sn 0.500 0.500 0.000
Pb1 Pb 0.000 0.500 0.500
C1 C 0.500 0.500 0.500


No. 3
# Cd2SnPbC GGA-PBE optimized geometry
# M_tot: 0.000 μB per formula unit
data_Cd2SnPbC
_chemical_formula_sum 'Cd2 Sn1 Pb1 C1'
_space_group_name_H-M_alt 'P 4/m m m'
_space_group_IT_number 123
_space_group_name_Hall '-P 4 2'
_cell_length_a 4.533
_cell_length_b 4.533
_cell_length_c 5.684
_cell_angle_alpha 90.00
_cell_angle_beta 90.00
_cell_angle_gamma 90.00
loop_
_atom_site_label
_atom_site_type_symbol
_atom_site_fract_x
_atom_site_fract_y
_atom_site_fract_z
Cd1 Cd 0.000 0.500 0.000
Sn1 Sn 0.000 0.000 0.500
Pb1 Pb 0.500 0.500 0.500
C1 C 0.500 0.500 0.000


No. 4
# Ta2CdPbC GGA-PBE optimized geometry
# M_tot: 0.003 μB per formula unit
data_Ta2CdPbC
_chemical_formula_sum 'Ta2 Cd1 Pb1 C1'
_space_group_name_H-M_alt 'P 4/m m m'
_space_group_IT_number 123
_space_group_name_Hall '-P 4 2'
_cell_length_a 5.069
_cell_length_b 5.069
_cell_length_c 5.460
_cell_angle_alpha 90.00
_cell_angle_beta 90.00
_cell_angle_gamma 90.00
loop_
_atom_site_label
_atom_site_type_symbol
_atom_site_fract_x
_atom_site_fract_y
_atom_site_fract_z
Ta1 Ta 0.000 0.500 0.000
Cd1 Cd 0.000 0.000 0.000
Pb1 Pb 0.000 0.000 0.500
C1 C 0.500 0.500 0.500


No. 5
# TlCdPb2C GGA-PBE optimized geometry
# M_tot: 0.000 μB per formula unit
data_TlCdPb2C
_chemical_formula_sum 'Tl1 Cd1 Pb2 C1'
_space_group_name_H-M_alt 'P 4/m m m'
_space_group_IT_number 123
_space_group_name_Hall '-P 4 2'
_cell_length_a 6.060
_cell_length_b 6.060
_cell_length_c 3.992
_cell_angle_alpha 90.00
_cell_angle_beta 90.00
_cell_angle_gamma 90.00
loop_
_atom_site_label
_atom_site_type_symbol
_atom_site_fract_x
_atom_site_fract_y
_atom_site_fract_z
Tl1 Tl 0.000 0.000 0.000
Cd1 Cd 0.500 0.500 0.500
Pb1 Pb 0.000 0.500 0.500
C1 C 0.500 0.500 0.000


No. 6
# Y2CdPbC GGA-PBE optimized geometry
# M_tot: 0.000 μB per formula unit
data_Y2CdPbC
_chemical_formula_sum 'Y2 Cd1 Pb1 C1'
_space_group_name_H-M_alt 'P 4/m m m'
_space_group_IT_number 123
_space_group_name_Hall '-P 4 2'
_cell_length_a 4.977
_cell_length_b 4.977
_cell_length_c 4.564
_cell_angle_alpha 90.00
_cell_angle_beta 90.00
_cell_angle_gamma 90.00
loop_
_atom_site_label
_atom_site_type_symbol
_atom_site_fract_x
_atom_site_fract_y
_atom_site_fract_z
Y1 Y 0.000 0.500 0.000
Cd1 Cd 0.000 0.000 0.500
Pb1 Pb 0.500 0.500 0.500
C1 C 0.000 0.000 0.000


No. 7
# Cd3PdC GGA-PBE optimized geometry
# Relative energy among the computed polymorphs: 679 meV per atom
# M_tot: 2.186 μB per formula unit
data_Cd3PdC
_chemical_formula_sum 'Cd3 Pd1 C1'
_space_group_name_H-M_alt 'P m -3 m'
_space_group_IT_number 221
_space_group_name_Hall '-P 4 2 3'
_cell_length_a 5.200
_cell_length_b 5.200
_cell_length_c 5.200
_cell_angle_alpha 90.00
_cell_angle_beta 90.00
_cell_angle_gamma 90.00
loop_
_atom_site_label
_atom_site_type_symbol
_atom_site_fract_x
_atom_site_fract_y
_atom_site_fract_z
Cd1 Cd 0.000 0.000 0.500
Pd1 Pd 0.000 0.000 0.000
C1 C 0.500 0.500 0.500


No. 8
# CdPdC2 GGA-PBE optimized geometry
# M_tot: 0.000 μB per formula unit
data_CdPdC2
_chemical_formula_sum 'Cd4 Pd4 C8'
_space_group_name_H-M_alt 'I -4 2 d'
_space_group_IT_number 122
_space_group_name_Hall 'I -4 2bw'
_cell_length_a 5.029
_cell_length_b 5.029
_cell_length_c 9.601
_cell_angle_alpha 90.00
_cell_angle_beta 90.00
_cell_angle_gamma 90.00
loop_
_atom_site_label
_atom_site_type_symbol
_atom_site_fract_x
_atom_site_fract_y
_atom_site_fract_z
Cd1 Cd 0.000 0.000 0.000
Pd1 Pd 0.000 0.000 0.500
C1 C 0.196 0.250 0.625


| no. | ΔH_f (0 K) (eV/atom) |
| --- | --- |
| 1 | -0.25 |
| 2 | 0.80 |
| 3 | 0.77 |
| 4 | 3.28 |
| 5 | 1.10 |
| 6 | -0.26 |
| 7 | 1.35 |
| 8 | 1.58 |